Run i
This record from Alexandria via LeMat-Bulk describes an optimized crystal structure of Hf2Sc2Cu. The functional is GGA-PBE. Values from VASP.

Values from the calculation:
**Space-group type**: I4/mmm (139)
**Total magnetization**: 0.00 μB per cell

Geometry as Quantum ESPRESSO input:
```
&SYSTEM
  ibrav = 0, nat = 5, ntyp = 3
/
ATOMIC_SPECIES
Sc 44.96 Sc.upf
Hf 178.49 Hf.upf
Cu 63.55 Cu.upf
ATOMIC_POSITIONS angstrom
Sc 1.9096 1.9096 1.4670
Sc 3.8191 3.8191 6.6487
Hf 3.8191 1.9096 4.0578
Hf 1.9096 3.8191 4.0578
Cu 0.0000 0.0000 0.0000
CELL_PARAMETERS angstrom
3.8191 0.0000 0.0000
0.0000 3.8191 0.0000
1.9096 1.9096 8.1156
```

=====

Run ii
This record from Alexandria via LeMat-Bulk describes an optimized crystal structure of Hf2Sc2Cu. The functional is GGA-PBE. Values from VASP.

Values from the calculation:
**Space-group type**: P4/mbm (127)
**Total magnetization**: 0.00 μB per cell

Geometry as Quantum ESPRESSO input:
```
&SYSTEM
  ibrav = 0, nat = 10, ntyp = 3
/
ATOMIC_SPECIES
Sc 44.96 Sc.upf
Hf 178.49 Hf.upf
Cu 63.55 Cu.upf
ATOMIC_POSITIONS angstrom
Sc 2.3834 5.7875 0.0000
Sc 5.7875 4.4248 0.0000
Sc 4.4248 1.0207 0.0000
Sc 1.0207 2.3834 0.0000
Hf 1.0368 4.4408 2.3425
Hf 4.4408 5.7714 2.3425
Hf 5.7714 2.3673 2.3425
Hf 2.3673 1.0368 2.3425
Cu 0.0000 0.0000 0.0000
Cu 3.4041 3.4041 0.0000
CELL_PARAMETERS angstrom
6.8081 0.0000 0.0000
0.0000 6.8081 0.0000
0.0000 0.0000 4.6849
```

=====

Run iii
This record from Alexandria via LeMat-Bulk describes an optimized crystal structure of Hf2Sc2Cu. The functional is GGA-PBE. Values from VASP.

Values from the calculation:
**Space-group type**: P4/mbm (127)
**Total magnetization**: 0.00 μB per cell

Geometry as Quantum ESPRESSO input:
```
&SYSTEM
  ibrav = 0, nat = 10, ntyp = 3
/
ATOMIC_SPECIES
Sc 44.96 Sc.upf
Hf 178.49 Hf.upf
Cu 63.55 Cu.upf
ATOMIC_POSITIONS angstrom
Sc 1.0699 4.4815 2.3967
Sc 4.4815 5.7532 2.3967
Sc 5.7532 2.3416 2.3967
Sc 2.3416 1.0699 2.3967
Hf 2.4111 5.8226 0.0000
Hf 5.8226 4.4121 0.0000
Hf 4.4121 1.0005 0.0000
Hf 1.0005 2.4111 0.0000
Cu 0.0000 0.0000 0.0000
Cu 3.4116 3.4116 0.0000
CELL_PARAMETERS angstrom
6.8231 0.0000 0.0000
0.0000 6.8231 0.0000
0.0000 0.0000 4.7934
```

=====

Least stable of them? run i.

=====

Run i
This record from Alexandria via LeMat-Bulk describes an optimized crystal structure of HfCuSe3. The functional is GGA-PBE. Values from VASP.

Values from the calculation:
**Space-group type**: P2_1/m (11)
**Total magnetization**: 0.00 μB per cell

Geometry as Quantum ESPRESSO input:
```
&SYSTEM
  ibrav = 0, nat = 10, ntyp = 3
/
ATOMIC_SPECIES
Hf 178.49 Hf.upf
Cu 63.55 Cu.upf
Se 78.96 Se.upf
ATOMIC_POSITIONS angstrom
Hf 0.9392 0.9182 5.6725
Hf 2.8175 4.2830 5.2322
Cu 0.9392 0.2751 0.9466
Cu 2.8175 4.9261 9.9582
Se 2.8175 -0.9008 6.4149
Se 2.8175 2.3193 7.0026
Se 0.9392 6.1020 4.4899
Se 0.9392 2.8819 3.9021
Se 0.9392 3.5689 10.4037
Se 2.8175 1.6322 0.5010
CELL_PARAMETERS angstrom
3.7567 0.0000 0.0000
0.0000 6.6582 1.0744
0.0000 -1.4570 9.8303
```

=====

Run ii
This record from Alexandria via LeMat-Bulk describes an optimized crystal structure of HfCuSe3. The functional is GGA-PBE. Values from VASP.

Values from the calculation:
**Space-group type**: Pm-3m (221)
**Total magnetization**: 0.00 μB per cell

Geometry as Quantum ESPRESSO input:
```
&SYSTEM
  ibrav = 0, nat = 5, ntyp = 3
/
ATOMIC_SPECIES
Hf 178.49 Hf.upf
Cu 63.55 Cu.upf
Se 78.96 Se.upf
ATOMIC_POSITIONS angstrom
Hf 0.0000 0.0000 0.0000
Cu 2.5810 2.5810 2.5810
Se 0.0000 2.5810 0.0000
Se 0.0000 0.0000 2.5810
Se 2.5810 0.0000 0.0000
CELL_PARAMETERS angstrom
5.1619 0.0000 0.0000
0.0000 5.1619 0.0000
0.0000 0.0000 5.1619
```

=====

Least stable of them? run ii.

=====

Run i
This record from Alexandria via LeMat-Bulk describes an optimized crystal structure of HfCu3Se. The functional is GGA-PBE. Values from VASP.

Values from the calculation:
**Space-group type**: Pm-3m (221)
**Total magnetization**: 0.00 μB per cell

Geometry as Quantum ESPRESSO input:
```
&SYSTEM
  ibrav = 0, nat = 5, ntyp = 3
/
ATOMIC_SPECIES
Hf 178.49 Hf.upf
Cu 63.55 Cu.upf
Se 78.96 Se.upf
ATOMIC_POSITIONS angstrom
Hf 2.2544 2.2544 2.2544
Cu 0.0000 2.2544 0.0000
Cu 0.0000 0.0000 2.2544
Cu 2.2544 0.0000 0.0000
Se 0.0000 0.0000 0.0000
CELL_PARAMETERS angstrom
4.5089 0.0000 0.0000
0.0000 4.5089 0.0000
0.0000 0.0000 4.5089
```

=====

Run ii
This record from Alexandria via LeMat-Bulk describes an optimized crystal structure of HfCu3Se. The functional is GGA-PBE. Values from VASP.

Values from the calculation:
**Space-group type**: Pm-3m (221)
**Total magnetization**: 0.00 μB per cell

Geometry as Quantum ESPRESSO input:
```
&SYSTEM
  ibrav = 0, nat = 5, ntyp = 3
/
ATOMIC_SPECIES
Hf 178.49 Hf.upf
Cu 63.55 Cu.upf
Se 78.96 Se.upf
ATOMIC_POSITIONS angstrom
Hf 0.0000 0.0000 0.0000
Cu 1.1668 -1.3973 -1.6341
Cu -2.1281 -1.0154 -0.6513
Cu -0.3063 1.7323 -1.6999
Se -1.2676 -0.6804 -3.9853
CELL_PARAMETERS angstrom
-0.6126 3.4645 -3.3998
2.3337 -2.7945 -3.2682
-4.2562 -2.0309 -1.3026
```

=====

Least stable of them? run ii.

=====

Run i
This record from Alexandria via LeMat-Bulk describes an optimized crystal structure of Hf3CuSn. The functional is GGA-PBE. Values from VASP.

Values from the calculation:
**Space-group type**: Pm-3m (221)
**Total magnetization**: 0.00 μB per cell

Geometry as Quantum ESPRESSO input:
```
&SYSTEM
  ibrav = 0, nat = 5, ntyp = 3
/
ATOMIC_SPECIES
Hf 178.49 Hf.upf
Sn 118.71 Sn.upf
Cu 63.55 Cu.upf
ATOMIC_POSITIONS angstrom
Hf 0.0000 2.4271 0.0000
Hf 0.0000 0.0000 2.4271
Hf 2.4271 0.0000 0.0000
Sn 2.4271 2.4271 2.4271
Cu 0.0000 0.0000 0.0000
CELL_PARAMETERS angstrom
4.8543 0.0000 0.0000
0.0000 4.8543 0.0000
0.0000 0.0000 4.8543
```

=====

Run ii
This record from Alexandria via LeMat-Bulk describes an optimized crystal structure of Hf3CuSn. The functional is GGA-PBE. Values from VASP.

Values from the calculation:
**Space-group type**: P6_3/mmc (194)
**Total magnetization**: 0.00 μB per cell

Geometry as Quantum ESPRESSO input:
```
&SYSTEM
  ibrav = 0, nat = 10, ntyp = 3
/
ATOMIC_SPECIES
Hf 178.49 Hf.upf
Cu 63.55 Cu.upf
Sn 118.71 Sn.upf
ATOMIC_POSITIONS angstrom
Hf 1.3489 4.8700 1.0785
Hf 4.0468 -1.4995 4.7572
Hf 1.3489 3.3693 3.6778
Hf 4.0468 0.0012 2.1578
Hf 1.3489 1.8685 1.0794
Hf 4.0468 1.5019 4.7563
Cu 0.0000 0.0000 0.0000
Cu 2.6978 0.0000 0.0000
Sn 1.3489 0.0027 3.8896
Sn 4.0468 3.3678 1.9461
CELL_PARAMETERS angstrom
5.3957 0.0000 0.0000
0.0000 6.7394 -0.0012
0.0000 -3.3689 5.8369
```

=====

Least stable of them? run i.

=====

Run i
This record from Alexandria via LeMat-Bulk describes an optimized crystal structure of HfCuSn3. The functional is GGA-PBE. Values from VASP.

Values from the calculation:
**Space-group type**: Pm-3m (221)
**Total magnetization**: 0.00 μB per cell

Geometry as Quantum ESPRESSO input:
```
&SYSTEM
  ibrav = 0, nat = 5, ntyp = 3
/
ATOMIC_SPECIES
Hf 178.49 Hf.upf
Sn 118.71 Sn.upf
Cu 63.55 Cu.upf
ATOMIC_POSITIONS angstrom
Hf 2.5073 2.5073 2.5073
Sn 0.0000 2.5073 0.0000
Sn 0.0000 0.0000 2.5073
Sn 2.5073 0.0000 0.0000
Cu 0.0000 0.0000 0.0000
CELL_PARAMETERS angstrom
5.0146 0.0000 0.0000
0.0000 5.0146 0.0000
0.0000 0.0000 5.0146
```

=====

Run ii
This record from Alexandria via LeMat-Bulk describes an optimized crystal structure of HfCuSn3. The functional is GGA-PBE. Values from VASP.

Values from the calculation:
**Space-group type**: Pm-3m (221)
**Total magnetization**: 0.00 μB per cell

Geometry as Quantum ESPRESSO input:
```
&SYSTEM
  ibrav = 0, nat = 5, ntyp = 3
/
ATOMIC_SPECIES
Hf 178.49 Hf.upf
Sn 118.71 Sn.upf
Cu 63.55 Cu.upf
ATOMIC_POSITIONS angstrom
Hf 0.0000 0.0000 0.0000
Sn 0.0000 2.7626 0.0000
Sn 0.0000 0.0000 2.7626
Sn 2.7626 0.0000 0.0000
Cu 2.7626 2.7626 2.7626
CELL_PARAMETERS angstrom
5.5252 0.0000 0.0000
0.0000 5.5252 0.0000
0.0000 0.0000 5.5252
```

=====

Least stable of them? run ii.

=====

Run i
This record from Alexandria via LeMat-Bulk describes an optimized crystal structure of Hf2CuSn2. The functional is GGA-PBE. Values from VASP.

Values from the calculation:
**Space-group type**: P4/mbm (127)
**Total magnetization**: 0.00 μB per cell

Geometry as Quantum ESPRESSO input:
```
&SYSTEM
  ibrav = 0, nat = 10, ntyp = 3
/
ATOMIC_SPECIES
Hf 178.49 Hf.upf
Sn 118.71 Sn.upf
Cu 63.55 Cu.upf
ATOMIC_POSITIONS angstrom
Hf 1.1691 4.6305 2.1750
Hf 4.6305 5.7538 2.1750
Hf 5.7538 2.2923 2.1750
Hf 2.2923 1.1691 2.1750
Sn 2.4693 5.9307 0.0000
Sn 5.9307 4.4536 0.0000
Sn 4.4536 0.9922 0.0000
Sn 0.9922 2.4693 0.0000
Cu 0.0000 0.0000 0.0000
Cu 3.4614 3.4614 0.0000
CELL_PARAMETERS angstrom
6.9229 0.0000 0.0000
0.0000 6.9229 0.0000
0.0000 0.0000 4.3501
```

=====

Run ii
This record from Alexandria via LeMat-Bulk describes an optimized crystal structure of Hf2CuSn2. The functional is GGA-PBE. Values from VASP.

Values from the calculation:
**Space-group type**: P4/mbm (127)
**Total magnetization**: 0.00 μB per cell

Geometry as Quantum ESPRESSO input:
```
&SYSTEM
  ibrav = 0, nat = 10, ntyp = 3
/
ATOMIC_SPECIES
Hf 178.49 Hf.upf
Sn 118.71 Sn.upf
Cu 63.55 Cu.upf
ATOMIC_POSITIONS angstrom
Hf 2.3925 5.8998 0.0000
Hf 5.8998 4.6221 0.0000
Hf 4.6221 1.1148 0.0000
Hf 1.1148 2.3925 0.0000
Sn 1.0749 4.5822 2.2298
Sn 4.5822 5.9397 2.2298
Sn 5.9397 2.4324 2.2298
Sn 2.4324 1.0749 2.2298
Cu 0.0000 0.0000 0.0000
Cu 3.5073 3.5073 0.0000
CELL_PARAMETERS angstrom
7.0146 0.0000 0.0000
0.0000 7.0146 0.0000
0.0000 0.0000 4.4596
```

=====

Least stable of them? run ii.